CsZn2In | PBE | optimized geometry

Cell and atoms, written as POSCAR:
```
CsZn2In
1.0
-0.302 -5.695 2.191
-0.578 -2.158 -5.687
8.066 -4.611 -2.353
Cs Zn In
2 4 2
Cartesian
0.000 0.000 0.000
3.662 -7.116 -0.955
1.831 -3.556 -0.478
1.542 -4.640 -3.320
5.575 -6.943 -4.500
5.424 -9.789 -3.399
-0.440 -3.926 -1.748
3.524 -5.348 -4.894
```

The calculated formation energy comes out at 0.136 eV per atom.


Cs3Zn2In4 | PBE | optimized geometry

Cell and atoms, written as POSCAR:
```
Cs3Zn2In4
1.0
-0.657 -4.379 1.664
4.848 -1.075 5.874
-5.357 1.803 9.285
Cs Zn In
3 2 4
Cartesian
-3.198 -1.725 7.654
0.000 0.000 0.000
2.032 -1.926 9.170
0.594 -3.010 5.786
-1.760 -0.641 11.037
1.284 -1.428 3.504
-1.242 -3.401 10.701
0.076 -0.250 6.123
-2.450 -2.224 13.320
```

The calculated formation energy comes out at -0.023 eV per atom.


CsZnIn2 | PBE | optimized geometry

Cell and atoms, written as POSCAR:
```
CsZnIn2
1.0
-2.200 -1.897 2.261
2.063 -3.005 -0.514
5.269 2.398 7.140
Cs Zn In
1 1 2
Cartesian
2.566 -1.252 4.443
-0.068 -2.451 0.874
4.365 1.986 5.914
0.904 0.411 1.225
```

The calculated formation energy comes out at 0.030 eV per atom.


CsZr2In2 | PBE | optimized geometry

Cell and atoms, written as POSCAR:
```
CsZr2In2
1.0
-2.293 3.552 -0.703
-3.185 -1.582 2.392
1.018 4.914 8.443
Cs Zr In
1 2 2
Cartesian
0.000 0.000 0.000
-2.007 4.725 4.292
-2.453 2.158 5.840
-1.740 2.029 2.864
-2.719 4.854 7.268
```

The offset from the most stable computed form comes out at 17.5 kJ/mol of atoms. The calculated formation energy comes out at 0.309 eV per atom.